Material: ZrCd2Hg
Method: DFT, PBE
State: optimized geometry

Properties
DFT total energy ... -2.682 eV per atom
Magnetization ... 0.0 μB/f.u.

```
ZrCd2Hg
1.0
3.0961 0.0000 0.0000
0.0000 4.3346 0.0000
0.0000 0.0000 6.5323
Zr Cd Hg
1 2 1
Cartesian
0.0000 0.0000 0.0000
0.0000 0.0000 3.2513
1.5481 2.1673 1.6763
1.5481 2.1673 4.9840
```



Material: LiSiI2
Method: DFT, PBE
State: optimized geometry

Properties
DFT total energy ... -2.702 eV per atom
Magnetization ... 0.0 μB/f.u.

```
LiSiI2
1.0
2.0342 1.1744 9.0088
-2.0342 1.1744 9.0088
0.0000 -2.3489 9.0088
Li Si I
1 1 2
Cartesian
0.0000 0.0000 0.0000
0.0000 0.0000 13.5133
0.0000 0.0000 10.7168
0.0000 0.0000 16.3097
```



Material: Ac8Ge3RuI3
Method: DFT, PBE
State: optimized geometry

Properties
DFT total energy ... -4.814 eV per atom
Magnetization ... 0.0 μB/f.u.

```
Ac8Ge3RuI3
1.0
4.5974 2.6543 8.0996
-4.5974 2.6543 8.0996
0.0000 -5.3086 8.0996
Ac Ge Ru I
8 3 1 3
Cartesian
0.0000 0.0000 5.7423
-2.1827 -1.2602 13.7200
0.0000 -2.5204 10.5790
-2.1827 1.2602 10.5790
2.1827 -1.2602 13.7200
0.0000 2.5204 13.7200
2.1827 1.2602 10.5789
0.0000 0.0000 18.5566
-4.5974 0.0000 12.1495
-2.2987 1.3271 4.0498
2.2987 1.3271 4.0498
0.0000 0.0000 12.1495
-2.2987 -1.3271 8.0996
-2.2987 1.3271 16.1993
0.0000 2.6543 8.0996
```